1.
A geometry-optimized YAgPbS3 structure. Source: OQMD via LeMat-Bulk, functional GGA-PBE.

abc: 8.9256 8.9256 8.3979
angles: 103.40 103.40 25.63
Last column: nearest neighbours and their distance in Å.
Positions (direct):
Y: 0.1641 0.1641 0.0873  6 S 2.75-2.78
Y: 0.8359 0.8359 0.9127  6 S 2.75-2.78
Ag: 0.4760 0.4760 0.7870  4 S 2.54-2.67
Ag: 0.5240 0.5240 0.2130  4 S 2.54-2.67
Pb: 0.1334 0.1334 0.5734  7 S 3.00-3.16
Pb: 0.8666 0.8666 0.4266  7 S 3.00-3.16
S: 0.0000 0.0000 0.0000  4 Ag 2.63, 2 Y 2.78
S: 0.3190 0.3190 0.6800  1 Ag 2.67, 2 Y 2.75
S: 0.3270 0.3270 0.1386  3 Y 2.76-2.77, 2 Pb 3.07
S: 0.5000 0.5000 0.5000  2 Ag 2.54
S: 0.6730 0.6730 0.8614  3 Y 2.76-2.77, 2 Pb 3.07
S: 0.6810 0.6810 0.3200  1 Ag 2.67, 2 Y 2.75

ΔE to the lowest computed polymorph	0.00	eV/f.u.
space-group type	C2/m

2.
A geometry-optimized ZnS structure. Source: OQMD via LeMat-Bulk, functional GGA-PBE.

abc: 5.4335 5.4335 5.4335
angles: 90.00 90.00 90.00
Last column: nearest neighbours and their distance in Å.
Positions (direct):
Zn: 0.0000 0.0000 0.0000  4 S 2.35
Zn: 0.0000 0.5000 0.5000  4 S 2.35
Zn: 0.5000 0.0000 0.5000  4 S 2.35
Zn: 0.5000 0.5000 0.0000  4 S 2.35
S: 0.2500 0.2500 0.2500  4 Zn 2.35
S: 0.2500 0.7500 0.7500  4 Zn 2.35
S: 0.7500 0.2500 0.7500  4 Zn 2.35
S: 0.7500 0.7500 0.2500  4 Zn 2.35

space-group type	F-43m

3.
A geometry-optimized AgSbPtS3 structure. Source: OQMD via LeMat-Bulk, functional GGA-PBE.

abc: 5.0492 7.9860 13.4154
angles: 90.00 90.00 90.00
Last column: nearest neighbours and their distance in Å.
Positions (direct):
Ag: 0.0387 0.1042 0.4466  4 S 2.49-2.64
Ag: 0.4613 0.8958 0.9466  4 S 2.49-2.64
Ag: 0.5387 0.3958 0.5534  4 S 2.49-2.64
Ag: 0.9613 0.6042 0.0534  4 S 2.49-2.64
Sb: 0.0315 0.1307 0.1340  3 S 2.52-2.60
Sb: 0.4685 0.8693 0.6340  3 S 2.52-2.60
Sb: 0.5315 0.3693 0.8660  3 S 2.52-2.60
Sb: 0.9685 0.6307 0.3660  3 S 2.52-2.60
Pt: 0.0183 0.6356 0.7458  4 S 2.34-2.37
Pt: 0.4817 0.3644 0.2458  4 S 2.34-2.37
Pt: 0.5183 0.8644 0.2542  4 S 2.34-2.37
Pt: 0.9817 0.1356 0.7542  4 S 2.34-2.37
S: 0.1911 0.1508 0.9114  1 Pt 2.36, 1 Ag 2.50, 1 Sb 2.52
S: 0.2245 0.3791 0.7107  2 Pt 2.35-2.37, 1 Sb 2.60
S: 0.2349 0.6225 0.8997  1 Pt 2.34, 2 Ag 2.49-2.54, 1 Sb 2.56
S: 0.2651 0.3775 0.3997  1 Pt 2.34, 2 Ag 2.49-2.54, 1 Sb 2.56
S: 0.2755 0.6209 0.2107  2 Pt 2.35-2.37, 1 Sb 2.60
S: 0.3089 0.8492 0.4114  1 Pt 2.36, 1 Ag 2.50, 1 Sb 2.52
S: 0.6911 0.3492 0.0886  1 Pt 2.36, 1 Ag 2.50, 1 Sb 2.52
S: 0.7245 0.1209 0.2893  2 Pt 2.35-2.37, 1 Sb 2.60
S: 0.7349 0.8775 0.1003  1 Pt 2.34, 2 Ag 2.49-2.54, 1 Sb 2.56
S: 0.7651 0.1225 0.6003  1 Pt 2.34, 2 Ag 2.49-2.54, 1 Sb 2.56
S: 0.7755 0.8791 0.7893  2 Pt 2.35-2.37, 1 Sb 2.60
S: 0.8089 0.6508 0.5886  1 Pt 2.36, 1 Ag 2.50, 1 Sb 2.52

space-group type	P2_12_12_1

4.
A geometry-optimized ReGe2Ir structure. Source: OQMD via LeMat-Bulk, functional GGA-PBE.

abc: 6.2882 6.2882 6.2882
angles: 90.00 90.00 90.00
Last column: nearest neighbours and their distance in Å.
Positions (direct):
Re: 0.0000 0.0000 0.0000  4 Ge 2.72, 4 Ir 2.72
Re: 0.0000 0.5000 0.5000  4 Ge 2.72, 4 Ir 2.72
Re: 0.5000 0.0000 0.5000  4 Ge 2.72, 4 Ir 2.72
Re: 0.5000 0.5000 0.0000  4 Ge 2.72, 4 Ir 2.72
Ge: 0.0000 0.0000 0.5000  4 Ir 2.72, 4 Ge 2.72
Ge: 0.0000 0.5000 0.0000  4 Ir 2.72, 4 Ge 2.72
Ge: 0.2500 0.2500 0.7500  4 Ge 2.72, 4 Re 2.72
Ge: 0.2500 0.7500 0.2500  4 Ge 2.72, 4 Re 2.72
Ge: 0.5000 0.0000 0.0000  4 Ir 2.72, 4 Ge 2.72
Ge: 0.5000 0.5000 0.5000  4 Ir 2.72, 4 Ge 2.72
Ge: 0.7500 0.2500 0.2500  4 Ge 2.72, 4 Re 2.72
Ge: 0.7500 0.7500 0.7500  4 Ge 2.72, 4 Re 2.72
Ir: 0.2500 0.2500 0.2500  4 Re 2.72, 4 Ge 2.72
Ir: 0.2500 0.7500 0.7500  4 Re 2.72, 4 Ge 2.72
Ir: 0.7500 0.2500 0.7500  4 Re 2.72, 4 Ge 2.72
Ir: 0.7500 0.7500 0.2500  4 Re 2.72, 4 Ge 2.72

space-group type	F-43m

5.
A geometry-optimized Nb3Pb structure. Source: OQMD via LeMat-Bulk, functional GGA-PBE.

abc: 5.3660 5.3660 5.3823
angles: 90.00 90.00 90.00
Last column: nearest neighbours and their distance in Å.
Positions (direct):
Nb: 0.0000 0.0000 0.2500  2 Nb 2.69, 4 Pb 3.00
Nb: 0.0000 0.0000 0.7500  2 Nb 2.69, 4 Pb 3.00
Nb: 0.2487 0.5000 0.0000  2 Nb 2.67-2.70
Nb: 0.5000 0.2487 0.5000  2 Nb 2.67-2.70
Nb: 0.5000 0.7513 0.5000  2 Nb 2.67-2.70
Nb: 0.7513 0.5000 0.0000  2 Nb 2.67-2.70
Pb: 0.0000 0.5000 0.5000  12 Nb 3.00
Pb: 0.5000 0.0000 0.0000  12 Nb 3.00

space-group type	P4_2/mmc

6.
A geometry-optimized LuTlPdS3 structure. Source: OQMD via LeMat-Bulk, functional GGA-PBE.

abc: 7.9854 3.9289 10.0712
angles: 90.00 109.00 90.00
Last column: nearest neighbours and their distance in Å.
Positions (direct):
Lu: 0.1850 0.2500 0.1408  6 S 2.63-2.76
Lu: 0.8150 0.7500 0.8592  6 S 2.63-2.76
Tl: 0.2424 0.7500 0.7194  4 S 3.13-3.22
Tl: 0.7576 0.2500 0.2806  4 S 3.13-3.22
Pd: 0.4119 0.7500 0.4103  4 S 2.34-2.58
Pd: 0.5881 0.2500 0.5897  4 S 2.34-2.58
S: 0.0518 0.2500 0.8650  3 Lu 2.63-2.71
S: 0.2626 0.2500 0.4290  3 Pd 2.34-2.58
S: 0.4213 0.7500 0.1657  1 Pd 2.49, 2 Lu 2.68
S: 0.5787 0.2500 0.8343  1 Pd 2.49, 2 Lu 2.68
S: 0.7374 0.7500 0.5710  3 Pd 2.34-2.58
S: 0.9482 0.7500 0.1350  3 Lu 2.63-2.71

ΔE to the lowest computed polymorph	0.03	eV/f.u.
space-group type	P2_1/m

7.
A geometry-optimized GdTmCd2 structure. Source: OQMD via LeMat-Bulk, functional GGA-PBE.

abc: 3.7453 5.2701 5.2705
angles: 90.00 90.00 90.00
Last column: nearest neighbours and their distance in Å.
Positions (direct):
Gd: 0.0000 0.0000 0.0000  8 Cd 3.23-3.24
Tm: 0.0000 0.5000 0.4965  8 Cd 3.23-3.24
Cd: 0.5000 0.0000 0.5005  4 Gd 3.23-3.24, 4 Tm 3.23
Cd: 0.5000 0.5000 0.9959  4 Tm 3.23-3.24, 4 Gd 3.23

ΔE to the lowest computed polymorph	0.01	eV/f.u.
calculated formation energy	-30.9	kJ/mol of atoms
space-group type	Pmm2

8.
A geometry-optimized TbIn2Pd structure. Source: OQMD via LeMat-Bulk, functional GGA-PBE.

abc: 4.3643 4.3643 4.7166
angles: 90.00 90.00 90.00
Last column: nearest neighbours and their distance in Å.
Positions (direct):
Tb: 0.0000 0.0000 0.0000  4 Pd 3.09, 8 In 3.21
In: 0.0000 0.5000 0.5000  4 In 3.09, 4 Tb 3.21, 4 Pd 3.21
In: 0.5000 0.0000 0.5000  4 In 3.09, 4 Tb 3.21, 4 Pd 3.21
Pd: 0.5000 0.5000 0.0000  4 Tb 3.09, 8 In 3.21

space-group type	P4/mmm

9.
A geometry-optimized ZnCuPd2 structure. Source: OQMD via LeMat-Bulk, functional GGA-PBE.

abc: 4.2772 4.2772 7.8746
angles: 90.00 90.00 120.00
Last column: nearest neighbours and their distance in Å.
Positions (direct):
Zn: 0.0000 0.0000 0.0000  6 Pd 2.56
Zn: 0.0000 0.0000 0.5000  6 Pd 2.56
Cu: 0.3333 0.6667 0.2500  8 Pd 2.62-2.80
Cu: 0.6667 0.3333 0.7500  8 Pd 2.62-2.80
Pd: 0.3333 0.6667 0.5833  3 Zn 2.56, 4 Cu 2.62-2.80, 4 Pd 2.63-2.80
Pd: 0.3333 0.6667 0.9167  3 Zn 2.56, 4 Cu 2.62-2.80, 4 Pd 2.63-2.80
Pd: 0.6667 0.3333 0.0833  3 Zn 2.56, 4 Cu 2.62-2.80, 4 Pd 2.63-2.80
Pd: 0.6667 0.3333 0.4167  3 Zn 2.56, 4 Cu 2.62-2.80, 4 Pd 2.63-2.80

calculated formation energy	-16.6	kJ/mol of atoms
space-group type	P6_3/mmc

10.
A geometry-optimized PrTmAu2 structure. Source: OQMD via LeMat-Bulk, functional GGA-PBE.

abc: 4.6932 3.7669 11.0700
angles: 90.00 90.00 90.00
Last column: nearest neighbours and their distance in Å.
Positions (direct):
Pr: 0.0000 0.0000 0.0000  7 Au 3.00-3.16
Pr: 0.0000 0.5000 0.5000  7 Au 3.00-3.16
Tm: 0.5000 0.0000 0.7229  7 Au 3.05-3.10
Tm: 0.5000 0.5000 0.2229  7 Au 3.05-3.10
Au: 0.0000 0.0000 0.2706  3 Pr 3.00-3.16, 2 Au 3.05, 4 Tm 3.05
Au: 0.0000 0.5000 0.7706  3 Pr 3.00-3.16, 2 Au 3.05, 4 Tm 3.05
Au: 0.5000 0.0000 0.4459  2 Au 3.05, 3 Tm 3.07-3.10, 4 Pr 3.07
Au: 0.5000 0.5000 0.9459  2 Au 3.05, 3 Tm 3.07-3.10, 4 Pr 3.07

calculated formation energy	-79.0	kJ/mol of atoms
space-group type	Amm2

| no. | raw total energy (eV/cell) |
| --- | --- |
| 1 | -63.3 |
| 2 | -28.1 |
| 3 | -108.1 |
| 4 | -114.3 |
| 5 | -67.1 |
| 6 | -60.2 |
| 7 | -12.2 |
| 8 | -17.3 |
| 9 | -32.0 |
| 10 | -38.1 |